Density functional theory data (PBE) for crystalline CsAgTe2 at its relaxed geometry.

Properties
Formation energy from raw total energies: -0.452 eV/atom
Symmetry: Pnma (62)
DOS(E_F): 0.1 states/eV/f.u.

Cell: 8.880 5.031 13.195 Å, 90.00 90.00 90.00°
Fractional positions:
Ag 0.999 0.750 0.339
Ag 0.499 0.750 0.161
Ag 0.001 0.250 0.661
Ag 0.501 0.250 0.839
Te 0.680 0.750 0.331
Te 0.591 0.750 0.947
Te 0.320 0.250 0.669
Te 0.409 0.250 0.053
Te 0.909 0.250 0.447
Te 0.180 0.750 0.169
Te 0.091 0.750 0.553
Te 0.820 0.250 0.831
Cs 0.852 0.250 0.127
Cs 0.148 0.750 0.873
Cs 0.352 0.250 0.373
Cs 0.648 0.750 0.627

***

Density functional theory data (PBE) for crystalline Cs4Ag5Te6 at its relaxed geometry.

Properties
Formation energy from raw total energies: -0.494 eV/atom
Symmetry: Cmc2_1 (36)
DOS(E_F): 7.0 states/eV/f.u.

Cell: 4.965 10.960 20.797 Å, 90.00 90.00 103.09°
Fractional positions:
Te 0.803 0.607 0.013
Te 0.566 0.132 0.871
Te 0.197 0.393 0.513
Te 0.197 0.393 0.748
Te 0.549 0.098 0.630
Te 0.853 0.706 0.631
Te 0.147 0.294 0.131
Te 0.803 0.607 0.248
Te 0.566 0.131 0.390
Te 0.434 0.869 0.890
Te 0.451 0.902 0.130
Te 0.434 0.868 0.371
Ag 0.585 0.170 0.130
Ag 0.368 0.736 0.015
Ag 0.271 0.541 0.630
Ag 0.126 0.251 0.630
Ag 0.632 0.264 0.515
Ag 0.415 0.830 0.630
Ag 0.368 0.735 0.246
Ag 0.729 0.459 0.130
Ag 0.632 0.265 0.746
Ag 0.874 0.749 0.130
Cs 0.814 0.628 0.811
Cs 0.995 0.991 0.503
Cs 0.186 0.372 0.311
Cs 0.005 0.009 0.003
Cs 0.814 0.628 0.450
Cs 0.186 0.372 0.950
Cs 0.005 0.009 0.258
Cs 0.995 0.991 0.758

***

Density functional theory data (PBE) for crystalline CsAgTe3 at its relaxed geometry.

Properties
Formation energy from raw total energies: -0.363 eV/atom
Symmetry: P1 (1)
DOS(E_F): 2.0 states/eV/f.u.

Cell: 7.012 7.369 8.780 Å, 94.16 100.20 109.77°
Fractional positions:
Te 0.905 0.614 0.875
Te 0.370 0.850 0.233
Te 0.545 0.557 0.259
Te 0.082 0.051 0.414
Te 0.546 0.288 0.772
Te 0.907 0.344 0.388
Cs 0.051 0.184 0.975
Cs 0.399 0.718 0.672
Ag 0.939 0.691 0.197
Ag 0.513 0.211 0.450

***

Density functional theory data (PBE) for crystalline CsAgTe2 at its relaxed geometry.

Properties
Formation energy from raw total energies: -0.496 eV/atom
Symmetry: P-1 (2)
DOS(E_F): 1.0 states/eV/f.u.

Cell: 5.951 4.416 6.564 Å, 89.84 90.19 90.01°
Fractional positions:
Ag 0.297 0.617 0.033
Te 0.298 0.118 0.775
Te 0.296 0.116 0.292
Cs 0.797 0.618 0.534

***

Density functional theory data (PBE) for crystalline Cs2AgTe2 at its relaxed geometry.

Properties
Distance to the lowest polymorph of the same formula: 1.06 eV per formula unit
Formation energy from raw total energies: -0.504 eV/atom
Symmetry: P4/mbm (127)
DOS(E_F): 2.0 states/eV/f.u.

Cell: 8.129 8.129 6.025 Å, 90.00 90.00 90.00°
Fractional positions:
Cs 0.342 0.158 0.500
Cs 0.658 0.842 0.500
Cs 0.842 0.342 0.500
Cs 0.158 0.658 0.500
Ag 0.000 0.000 0.000
Ag 0.500 0.500 0.000
Te 0.659 0.159 0.000
Te 0.159 0.341 0.000
Te 0.841 0.659 0.000
Te 0.341 0.841 0.000

***

Density functional theory data (PBE) for crystalline CsAg12Te6 at its relaxed geometry.

Properties
Formation energy from raw total energies: -0.106 eV/atom
Symmetry: R-3m (166)
DOS(E_F): 4.7 states/eV/f.u.

Cell: 8.181 8.181 8.181 Å, 96.95 96.95 96.95°
Fractional positions:
Te 0.168 0.168 0.600
Te 0.400 0.832 0.832
Te 0.600 0.168 0.168
Te 0.832 0.832 0.400
Te 0.832 0.400 0.832
Te 0.168 0.600 0.168
Ag 0.394 0.394 0.086
Ag 0.394 0.086 0.394
Ag 0.914 0.606 0.606
Ag 0.086 0.394 0.394
Ag 0.252 0.748 0.500
Ag 0.252 0.500 0.748
Ag 0.606 0.914 0.606
Ag 0.748 0.252 0.500
Ag 0.500 0.252 0.748
Ag 0.606 0.606 0.914
Ag 0.748 0.500 0.252
Ag 0.500 0.748 0.252
Cs 0.000 0.000 0.000